Entry 1:
Compound: MoAs2W
Source: Alexandria
Functional: PBE
Structure: relaxed

a b c (Å): 3.1835 5.0831 8.1126
angles (deg): 90.00 90.00 90.00
Space group Cmmm (No. 65)
Unique sites:
Mo 0.0000 0.0000 0.0000 [2 per cell]
As 0.0000 0.5000 0.2488 [4 per cell]
W 0.0000 0.0000 0.5000 [2 per cell]

Output
- Offset from the most stable computed form: 47.7 kJ per mole of atoms
- Formation energy from the elements: 10.86 kcal/mol of atoms
- Mass density: 10.869 g/cm3
- DOS(E_F): 3.81 states/eV/f.u.

Entry 2:
Compound: Sm8BiC4
Source: Alexandria
Functional: PBE
Structure: relaxed

a b c (Å): 11.1896 11.1896 11.1896
angles (deg): 90.00 90.00 90.00
Space group F-43m (No. 216)
Unique sites:
Sm 0.1013 0.1013 0.1013 [16 per cell]
Sm 0.1403 0.1403 0.6403 [16 per cell]
Bi 0.2500 0.2500 0.2500 [4 per cell]
C 0.1293 0.1293 0.8707 [16 per cell]

Output
- Offset from the most stable computed form: 15.8 kJ per mole of atoms
- Formation energy from the elements: -1.79 kcal/mol of atoms
- Mass density: 6.921 g/cm3
- DOS(E_F): 9.18 states/eV/f.u.

Entry 3:
Compound: Rb3Sr2F7
Source: Alexandria
Functional: PBE
Structure: relaxed

a b c (Å): 4.7735 4.7735 23.8434
angles (deg): 90.00 90.00 90.00
Space group I4/mmm (No. 139)
Unique sites:
Rb 0.0000 0.0000 0.0000 [2 per cell]
Rb 0.0000 0.0000 0.1873 [4 per cell]
Sr 0.0000 0.0000 0.3991 [4 per cell]
F 0.0000 0.0000 0.2990 [4 per cell]
F 0.0000 0.0000 0.5000 [2 per cell]
F 0.0000 0.5000 0.0987 [8 per cell]

Output
- Formation energy without anion corrections: -3.26 eV per atom
- Mass density: 3.451 g/cm3
- DOS(E_F): 0.00 states/eV/f.u.

Entry 4:
Compound: Pr2Nd3SmS6
Source: Alexandria
Functional: PBE
Structure: relaxed

a b c (Å): 7.0439 12.2372 7.0466
angles (deg): 90.00 109.51 90.00
Space group C2/m (No. 12)
Unique sites:
Pr 0.0000 0.1668 0.0000 [4 per cell]
Nd 0.0000 0.0000 0.5000 [2 per cell]
Nd 0.0000 0.3311 0.5000 [4 per cell]
Sm 0.0000 0.5000 0.0000 [2 per cell]
S 0.2443 0.5000 0.7484 [4 per cell]
S 0.2473 0.3358 0.2495 [8 per cell]

Output
- Formation energy without anion corrections: -2.03 eV per atom
- Mass density: 6.133 g/cm3
- DOS(E_F): 5.20 states/eV/f.u.

Entry 5:
Compound: SmTlO2
Source: Alexandria
Functional: PBE
Structure: relaxed

a b c (Å): 3.6079 3.6079 12.9974
angles (deg): 90.00 90.00 120.00
Space group P6_3/mmc (No. 194)
Unique sites:
Sm 0.0000 0.0000 0.0000 [2 per cell]
Tl 0.3333 0.6667 0.2500 [2 per cell]
O 0.3333 0.6667 0.5883 [4 per cell]

Output
- Offset from the most stable computed form: 0.0 kJ per mole of atoms
- Formation energy without anion corrections: -2.27 eV per atom
- Mass density: 8.766 g/cm3
- DOS(E_F): 0.00 states/eV/f.u.

Entry 6:
Compound: HoEr4Ag5
Source: Alexandria
Functional: PBE
Structure: relaxed

a b c (Å): 3.5745 3.5745 18.3480
angles (deg): 90.00 90.00 90.00
Space group P4/mmm (No. 123)
Unique sites:
Ho 0.0000 0.0000 0.0000 [1 per cell]
Er 0.0000 0.0000 0.2006 [2 per cell]
Er 0.0000 0.0000 0.4002 [2 per cell]
Ag 0.5000 0.5000 0.1011 [2 per cell]
Ag 0.5000 0.5000 0.3005 [2 per cell]
Ag 0.5000 0.5000 0.5000 [1 per cell]

Output
- Formation energy from the elements: -7.74 kcal/mol of atoms
- Mass density: 9.727 g/cm3
- DOS(E_F): 4.40 states/eV/f.u.

Entry 7:
Compound: Na2Pr3YS6
Source: Alexandria
Functional: PBE
Structure: relaxed

a b c (Å): 7.0537 12.2032 7.0183
angles (deg): 90.00 109.46 90.00
Space group C2/m (No. 12)
Unique sites:
Na 0.0000 0.1657 0.0000 [4 per cell]
Pr 0.0000 0.0000 0.5000 [2 per cell]
Pr 0.0000 0.3294 0.5000 [4 per cell]
Y 0.0000 0.5000 0.0000 [2 per cell]
S 0.2408 0.5000 0.7518 [4 per cell]
S 0.2431 0.3378 0.2424 [8 per cell]

Output
- Formation energy without anion corrections: -1.86 eV per atom
- Mass density: 4.373 g/cm3
- DOS(E_F): 3.31 states/eV/f.u.

Entry 8:
Compound: DyTmScIn
Source: Alexandria
Functional: PBE
Structure: relaxed

a b c (Å): 7.5160 7.5160 7.5160
angles (deg): 90.00 90.00 90.00
Space group F-43m (No. 216)
Unique sites:
Dy 0.0000 0.0000 0.0000 [4 per cell]
Tm 0.0000 0.0000 0.5000 [4 per cell]
Sc 0.2500 0.2500 0.7500 [4 per cell]
In 0.2500 0.2500 0.2500 [4 per cell]

Output
- Offset from the most stable computed form: 10.4 kJ per mole of atoms
- Formation energy from the elements: -3.44 kcal/mol of atoms
- Mass density: 7.684 g/cm3
- DOS(E_F): 6.23 states/eV/f.u.

Entry 9:
Compound: Ag3SBr
Source: Alexandria
Functional: PBE
Structure: relaxed

a b c (Å): 10.7128 5.9695 8.4629
angles (deg): 90.00 106.87 90.00
Space group P2_1/c (No. 14)
Unique sites:
Ag 0.0013 0.0090 0.2515 [4 per cell]
Ag 0.2840 0.5158 0.3629 [4 per cell]
Ag 0.2868 0.0237 0.3749 [4 per cell]
S 0.1459 0.2400 0.6588 [4 per cell]
Br 0.4175 0.7411 0.1054 [4 per cell]

Output
- Formation energy without anion corrections: -0.14 eV per atom
- Mass density: 5.586 g/cm3
- DOS(E_F): 0.00 states/eV/f.u.

Entry 10:
Compound: CsRb4Cd5
Source: Alexandria
Functional: PBE
Structure: relaxed

a b c (Å): 13.4963 13.5912 5.2841
angles (deg): 90.00 90.00 90.00
Space group Pmmn (No. 59, origin choice 2)
Unique sites:
Cs 0.2500 0.2500 0.0282 [2 per cell]
Rb 0.0316 0.7500 0.2831 [4 per cell]
Rb 0.2500 0.5351 0.2837 [4 per cell]
Cd 0.0341 0.5355 0.7537 [8 per cell]
Cd 0.2500 0.7500 0.7781 [2 per cell]

Output
- Formation energy from the elements: 0.30 kcal/mol of atoms
- Mass density: 3.553 g/cm3
- DOS(E_F): 7.60 states/eV/f.u.

Entry 11:
Compound: LaUPa2P4
Source: Alexandria
Functional: PBE
Structure: relaxed

a b c (Å): 5.6930 5.6930 11.3936
angles (deg): 90.00 90.00 90.00
Space group I-4m2 (No. 119)
Unique sites:
La 0.0000 0.0000 0.0000 [2 per cell]
U 0.0000 0.5000 0.7500 [2 per cell]
Pa 0.0000 0.0000 0.5000 [2 per cell]
Pa 0.0000 0.5000 0.2500 [2 per cell]
P 0.0000 0.0000 0.2566 [4 per cell]
P 0.0000 0.5000 0.9996 [4 per cell]

Output
- Formation energy from the elements: -28.60 kcal/mol of atoms
- Mass density: 8.660 g/cm3
- DOS(E_F): 13.50 states/eV/f.u.

Entry 12:
Compound: Pr3AlSn2
Source: Alexandria
Functional: PBE
Structure: relaxed

a b c (Å): 12.7514 4.5387 12.4156
angles (deg): 90.00 90.00 90.00
Space group Pnma (No. 62)
Unique sites:
Pr 0.0535 0.2500 0.1196 [4 per cell]
Pr 0.1233 0.7500 0.5602 [4 per cell]
Pr 0.2127 0.2500 0.7939 [4 per cell]
Al 0.1314 0.2500 0.3684 [4 per cell]
Sn 0.0174 0.7500 0.3116 [4 per cell]
Sn 0.1904 0.7500 0.9982 [4 per cell]

Output
- Formation energy from the elements: -14.90 kcal/mol of atoms
- Mass density: 6.352 g/cm3
- DOS(E_F): 4.73 states/eV/f.u.